No. 1
Density functional theory data (PBE+U) for a geometry-optimized CoSiNO structure.

- Total DFT energy (no corrections): -6.6301 eV/atom

a b c (Å): 4.1038 4.1038 4.3082
angles (deg): 90.00 90.00 90.00
Closest atoms and distances in Å follow each position.
Space group P4/nmm (No. 129, origin choice 2)
One atom of each set of equivalent atoms:
Co  0.2500  0.2500  0.0019 (multiplicity 2)  4 O 2.05, 2 N 2.15-2.16
Si  0.2500  0.7500  0.5000 (multiplicity 2)  4 N 2.05, 2 O 2.15
N  0.2500  0.2500  0.5015 (multiplicity 2)  4 Si 2.05, 2 Co 2.15-2.16
O  0.2500  0.7500  0.0000 (multiplicity 2)  4 Co 2.05, 2 Si 2.15

No. 2
Density functional theory data (PBE+U) for a geometry-optimized CoSiNO structure.

- Total DFT energy (no corrections): -6.8039 eV/atom

a b c (Å): 2.8987 5.6700 5.1144
angles (deg): 90.00 90.00 90.00
Closest atoms and distances in Å follow each position.
Space group Pmc2_1 (No. 26)
One atom of each set of equivalent atoms:
Co  0.0000  0.1464  0.0000 (multiplicity 2)  2 O 2.06-2.28, 2 N 2.10
Si  0.5000  0.3660  0.5257 (multiplicity 2)  2 N 1.68-1.69, 2 O 1.75
N  0.5000  0.3800  0.8554 (multiplicity 2)  2 Si 1.68-1.69
O  0.0000  0.2121  0.4402 (multiplicity 2)  2 Si 1.75

No. 3
Density functional theory data (PBE+U) for a geometry-optimized SmCoNO structure.

- Total DFT energy (no corrections): -7.0988 eV/atom

a b c (Å): 4.7996 8.2303 4.9917
angles (deg): 90.00 90.00 90.00
Closest atoms and distances in Å follow each position.
Space group Pca2_1 (No. 29)
One atom of each set of equivalent atoms:
Sm  0.0151  0.1753  0.0000 (multiplicity 4)  5 O 2.35-2.58, 2 N 2.51-2.53
Co  0.0141  0.5199  0.9961 (multiplicity 4)  4 N 1.89-1.94
N  0.2504  0.4034  0.2465 (multiplicity 4)  4 Co 1.89-1.94
O  0.0247  0.8900  0.0048 (multiplicity 4)  5 Sm 2.35-2.58

No. 4
Density functional theory data (PBE+U) for a geometry-optimized SmCoNO structure.

- Total DFT energy (no corrections): -7.0500 eV/atom

a b c (Å): 3.7527 6.0123 5.1491
angles (deg): 90.00 90.00 90.00
Closest atoms and distances in Å follow each position.
Space group Pmc2_1 (No. 26)
One atom of each set of equivalent atoms:
Sm  0.0000  0.2058  0.0000 (multiplicity 2)  2 O 2.22, 2 N 2.32-2.45
Co  0.5000  0.3006  0.5149 (multiplicity 2)  2 O 1.99-2.06, 2 N 2.02
N  0.0000  0.1791  0.4750 (multiplicity 2)  2 Co 2.02
O  0.5000  0.3831  0.9027 (multiplicity 2)  2 Co 1.99-2.06, 2 Sm 2.22

No. 5
Density functional theory data (PBE+U) for a geometry-optimized SmCoNO structure.

- Total DFT energy (no corrections): -7.0219 eV/atom

a b c (Å): 3.7587 3.7587 7.2887
angles (deg): 90.00 90.00 90.00
Closest atoms and distances in Å follow each position.
Space group P4/nmm (No. 129, origin choice 2)
One atom of each set of equivalent atoms:
Sm  0.2500  0.2500  0.1698 (multiplicity 2)  4 O 2.25
Co  0.2500  0.7500  0.5000 (multiplicity 2)  4 N 1.96
N  0.2500  0.2500  0.5779 (multiplicity 2)  4 Co 1.96
O  0.2500  0.7500  0.0000 (multiplicity 2)  4 Sm 2.25

No. 6
Density functional theory data (PBE+U) for a geometry-optimized SmCoNO structure.

- Total DFT energy (no corrections): -6.8636 eV/atom

a b c (Å): 4.8984 4.8984 4.4382
angles (deg): 90.00 90.00 90.00
Closest atoms and distances in Å follow each position.
Space group P4/nmm (No. 129, origin choice 2)
One atom of each set of equivalent atoms:
Sm  0.2500  0.7500  0.0000 (multiplicity 2)  2 O 2.22, 4 N 2.45
Co  0.2500  0.2500  0.4982 (multiplicity 2)  2 N 2.20-2.24, 4 O 2.45
N  0.2500  0.2500  0.0025 (multiplicity 2)  2 Co 2.20-2.24, 4 Sm 2.45
O  0.2500  0.7500  0.5000 (multiplicity 2)  2 Sm 2.22, 4 Co 2.45

No. 7
Density functional theory data (PBE+U) for a geometry-optimized SmCoNO structure.

- Total DFT energy (no corrections): -7.0419 eV/atom

a b c (Å): 3.4534 5.5876 5.6989
angles (deg): 90.00 90.00 90.00
Closest atoms and distances in Å follow each position.
Space group Pmc2_1 (No. 26)
One atom of each set of equivalent atoms:
Sm  0.0000  0.2061  0.0000 (multiplicity 2)  2 O 2.29-2.42, 2 N 2.40
Co  0.5000  0.2485  0.5267 (multiplicity 2)  2 N 1.94-2.09, 2 O 2.00
N  0.5000  0.0486  0.2493 (multiplicity 2)  2 Co 1.94-2.09
O  0.0000  0.4027  0.6211 (multiplicity 2)  2 Co 2.00

No. 8
Density functional theory data (PBE+U) for a geometry-optimized CoSnNO structure.

- Total DFT energy (no corrections): -5.8180 eV/atom

a b c (Å): 3.3751 6.0273 5.6204
angles (deg): 90.00 90.00 90.00
Closest atoms and distances in Å follow each position.
Space group Pmc2_1 (No. 26)
One atom of each set of equivalent atoms:
Co  0.0000  0.1455  0.0000 (multiplicity 2)  2 N 1.99-2.01, 2 O 2.06
Sn  0.5000  0.3354  0.4831 (multiplicity 2)  2 N 2.12, 2 O 2.18-2.28
N  0.0000  0.1574  0.3573 (multiplicity 2)  2 Co 1.99-2.01, 2 Sn 2.12
O  0.5000  0.3008  0.8699 (multiplicity 2)  2 Co 2.06, 2 Sn 2.18-2.28

Repeat the seventh record exactly.
Density functional theory data (PBE+U) for a geometry-optimized SmCoNO structure.

- Total DFT energy (no corrections): -7.0419 eV/atom

a b c (Å): 3.4534 5.5876 5.6989
angles (deg): 90.00 90.00 90.00
Closest atoms and distances in Å follow each position.
Space group Pmc2_1 (No. 26)
One atom of each set of equivalent atoms:
Sm  0.0000  0.2061  0.0000 (multiplicity 2)  2 O 2.29-2.42, 2 N 2.40
Co  0.5000  0.2485  0.5267 (multiplicity 2)  2 N 1.94-2.09, 2 O 2.00
N  0.5000  0.0486  0.2493 (multiplicity 2)  2 Co 1.94-2.09
O  0.0000  0.4027  0.6211 (multiplicity 2)  2 Co 2.00

Question: Among the records above, which one has the lowest total DFT energy (no corrections)?
Answer: number 3

Repeat the sixth record exactly.
Density functional theory data (PBE+U) for a geometry-optimized SmCoNO structure.

- Total DFT energy (no corrections): -6.8636 eV/atom

a b c (Å): 4.8984 4.8984 4.4382
angles (deg): 90.00 90.00 90.00
Closest atoms and distances in Å follow each position.
Space group P4/nmm (No. 129, origin choice 2)
One atom of each set of equivalent atoms:
Sm  0.2500  0.7500  0.0000 (multiplicity 2)  2 O 2.22, 4 N 2.45
Co  0.2500  0.2500  0.4982 (multiplicity 2)  2 N 2.20-2.24, 4 O 2.45
N  0.2500  0.2500  0.0025 (multiplicity 2)  2 Co 2.20-2.24, 4 Sm 2.45
O  0.2500  0.7500  0.5000 (multiplicity 2)  2 Sm 2.22, 4 Co 2.45

Question: total DFT energy (no corrections) of number 7 (SmCoNO)?
Answer: -7.0419 eV/atom